The following is a DFT calculation (PBE) of Pm6CoHg2 after structural relaxation.

Calculated values
ΔH_f (0 K)   -206 meV/atom
Raw total energy   -4.2295 eV per atom
Magnetization   0.0 Bohr magnetons per cell

Lattice parameters (Å, degrees): 7.1498 7.3024 12.5186 90.00 123.96 90.00
Space group P2_1/c (No. 14)
Inequivalent atoms, fractional coordinates:
Pm: 0.1501 0.0027 0.2493
Pm: 0.2484 0.7010 0.0469
Pm: 0.3433 0.2041 0.0444
Co: 0.0000 0.0000 0.0000
Hg: 0.2835 0.0721 0.7551